Entry 1:
LaTiTe2I: single point on PBEsol structure, SCAN.

Space-group type: P4/mmm (123)
Total energy: -34.825 eV per atom

a b c (Å): 5.2442 5.3298 5.3298
angles (deg): 90.00 90.00 90.00
Closest atoms and distances in Å follow each position.
Element x y z (fractional)
1 I 0.5000 0.0000 0.0000  2 Ti 2.62
2 Te 0.0000 0.0000 0.5000  2 Ti 2.66
3 Te 0.0000 0.5000 0.0000  2 Ti 2.66
4 Ti 0.0000 0.0000 0.0000  2 I 2.62, 4 Te 2.66
5 La 0.5000 0.5000 0.5000  8 Te 3.74, 4 I 3.77

---

Entry 2:
LaTlTeI2: single point on PBEsol structure, SCAN.

Space-group type: P4/mmm (123)
Total energy: -46.305 eV per atom

a b c (Å): 6.1030 6.1836 6.1836
angles (deg): 90.00 90.00 90.00
Closest atoms and distances in Å follow each position.
Element x y z (fractional)
1 I 0.0000 0.0000 0.5000  2 La 3.09
2 I 0.0000 0.5000 0.0000  2 La 3.09
3 Tl 0.5000 0.5000 0.5000  8 I 4.34, 4 Te 4.37
4 Te 0.5000 0.0000 0.0000  2 La 3.05
5 La 0.0000 0.0000 0.0000  2 Te 3.05, 4 I 3.09

---

Entry 3:
LaTlI2: single point on PBEsol structure, SCAN.

Space-group type: Fm-3m (225)
Total energy: -48.050 eV per atom

a b c (Å): 5.6160 5.6160 5.6160
angles (deg): 60.00 60.00 60.00
Closest atoms and distances in Å follow each position.
Element x y z (fractional)
1 I 0.2500 0.2500 0.2500  4 Tl 3.44, 4 La 3.44
2 I 0.7500 0.7500 0.7500  4 Tl 3.44, 4 La 3.44
3 Tl 0.5000 0.5000 0.5000  8 I 3.44
4 La 0.0000 0.0000 0.0000  8 I 3.44

---

Entry 4:
La3ZnI: single point on PBEsol structure, SCAN.

Space-group type: Pm-3m (221)
Total energy: -36.065 eV per atom

a b c (Å): 5.6484 5.6484 5.6484
angles (deg): 90.00 90.00 90.00
Closest atoms and distances in Å follow each position.
Element x y z (fractional)
1 I 0.5000 0.5000 0.5000  12 La 3.99
2 Zn 0.0000 0.0000 0.0000  6 La 2.82
3 La 0.0000 0.5000 0.0000  2 Zn 2.82
4 La 0.0000 0.0000 0.5000  2 Zn 2.82
5 La 0.5000 0.0000 0.0000  2 Zn 2.82

---

Entry 5:
LaZr2I: single point on PBEsol structure, SCAN.

Space-group type: Fm-3m (225)
Total energy: -34.964 eV per atom

a b c (Å): 5.0862 5.0862 5.0862
angles (deg): 60.00 60.00 60.00
Closest atoms and distances in Å follow each position.
Element x y z (fractional)
1 I 0.0000 0.0000 0.0000  8 Zr 3.11
2 Zr 0.2500 0.2500 0.2500  4 La 3.11, 4 I 3.11
3 Zr 0.7500 0.7500 0.7500  4 La 3.11, 4 I 3.11
4 La 0.5000 0.5000 0.5000  8 Zr 3.11

---

Entry 6:
LaZr3I: single point on PBEsol structure, SCAN.

Space-group type: Pm-3m (221)
Total energy: -33.069 eV per atom

a b c (Å): 5.1494 5.1494 5.1494
angles (deg): 90.00 90.00 90.00
Closest atoms and distances in Å follow each position.
Element x y z (fractional)
1 I 0.5000 0.5000 0.5000  12 Zr 3.64
2 Zr 0.0000 0.5000 0.0000  2 La 2.57
3 Zr 0.0000 0.0000 0.5000  2 La 2.57
4 Zr 0.5000 0.0000 0.0000  2 La 2.57
5 La 0.0000 0.0000 0.0000  6 Zr 2.57

---

Entry 7:
LaZrI2: single point on PBEsol structure, SCAN.

Space-group type: Fm-3m (225)
Total energy: -37.266 eV per atom

a b c (Å): 5.2740 5.2740 5.2740
angles (deg): 60.00 60.00 60.00
Closest atoms and distances in Å follow each position.
Element x y z (fractional)
1 I 0.2500 0.2500 0.2500  4 Zr 3.23, 4 La 3.23
2 I 0.7500 0.7500 0.7500  4 La 3.23, 4 Zr 3.23
3 Zr 0.0000 0.0000 0.0000  8 I 3.23
4 La 0.5000 0.5000 0.5000  8 I 3.23

---

Entry 8:
LiMnI3: single point on PBEsol structure, SCAN.

Space-group type: Pm-3m (221)
Total energy: -26.362 eV per atom

a b c (Å): 5.3351 5.3351 5.3351
angles (deg): 90.00 90.00 90.00
Closest atoms and distances in Å follow each position.
Element x y z (fractional)
1 I 0.0000 0.5000 0.0000  2 Li 2.67
2 I 0.0000 0.0000 0.5000  2 Li 2.67
3 I 0.5000 0.0000 0.0000  2 Li 2.67
4 Mn 0.5000 0.5000 0.5000  12 I 3.77
5 Li 0.0000 0.0000 0.0000  6 I 2.67

---

Entry 9:
LiMn2I: single point on PBEsol structure, SCAN.

Space-group type: I-42d (122)
Total energy: -18.775 eV per atom

a b c (Å): 3.7973 3.7973 11.2802
angles (deg): 99.69 99.69 90.00
Closest atoms and distances in Å follow each position.
Element x y z (fractional)
1 I 0.2500 0.7500 0.5000  4 Li 2.69
2 I 0.0000 0.0000 0.0000  4 Li 2.69
3 Mn 0.3718 0.8750 0.2500  4 Mn 2.67-2.70
4 Mn 0.8782 0.3750 0.2500  4 Mn 2.67-2.70
5 Mn 0.1250 0.1218 0.7500  4 Mn 2.67-2.70
6 Mn 0.6250 0.6282 0.7500  4 Mn 2.67-2.70
7 Li 0.7500 0.2500 0.5000  4 I 2.69
8 Li 0.5000 0.5000 0.0000  4 I 2.69

---

Entry 10:
LiMnIN2: single point on PBEsol structure, SCAN.

Space-group type: P4/mmm (123)
Total energy: -13.828 eV per atom

a b c (Å): 3.8692 3.8692 5.2254
angles (deg): 90.00 90.00 90.00
Closest atoms and distances in Å follow each position.
Element x y z (fractional)
1 I 0.0000 0.0000 0.5000  2 Li 2.61, 4 Mn 2.74
2 Mn 0.5000 0.5000 0.5000  4 I 2.74
3 Li 0.0000 0.0000 0.0000  4 N 1.93
4 N 0.0000 0.5000 0.0000  2 Li 1.93
5 N 0.5000 0.0000 0.0000  2 Li 1.93

---

Entry 11:
LiMnIO2: single point on PBEsol structure, SCAN.

Space-group type: P4/mmm (123)
Total energy: -14.149 eV per atom

a b c (Å): 3.8798 3.8798 5.0758
angles (deg): 90.00 90.00 90.00
Closest atoms and distances in Å follow each position.
Element x y z (fractional)
1 I 0.0000 0.0000 0.5000  2 Li 2.54, 4 Mn 2.74
2 Mn 0.5000 0.5000 0.5000  4 I 2.74
3 O 0.0000 0.5000 0.0000  2 Li 1.94
4 O 0.5000 0.0000 0.0000  2 Li 1.94
5 Li 0.0000 0.0000 0.0000  4 O 1.94

---

Entry 12:
LiMnTeI2: single point on PBEsol structure, SCAN.

Space-group type: P4/mmm (123)
Total energy: -26.219 eV per atom

a b c (Å): 5.2387 5.2387 5.2169
angles (deg): 90.00 90.00 90.00
Closest atoms and distances in Å follow each position.
Element x y z (fractional)
1 I 0.0000 0.5000 0.0000  2 Li 2.62
2 I 0.5000 0.0000 0.0000  2 Li 2.62
3 Te 0.0000 0.0000 0.5000  2 Li 2.61
4 Mn 0.5000 0.5000 0.5000  8 I 3.70, 4 Te 3.70
5 Li 0.0000 0.0000 0.0000  2 Te 2.61, 4 I 2.62

---

Entry 13:
LiIN3: single point on PBEsol structure, SCAN.

Space-group type: Pm-3m (221)
Total energy: -11.537 eV per atom

a b c (Å): 3.9619 3.9619 3.9619
angles (deg): 90.00 90.00 90.00
Closest atoms and distances in Å follow each position.
Element x y z (fractional)
1 I 0.0000 0.0000 0.0000  6 N 1.98
2 Li 0.5000 0.5000 0.5000  12 N 2.80
3 N 0.0000 0.5000 0.0000  2 I 1.98
4 N 0.0000 0.0000 0.5000  2 I 1.98
5 N 0.5000 0.0000 0.0000  2 I 1.98

---

Entry 14:
LiNiIN2: single point on PBEsol structure, SCAN.

Space-group type: P4/mmm (123)
Total energy: -13.120 eV per atom

a b c (Å): 3.6526 3.6526 5.4846
angles (deg): 90.00 90.00 90.00
Closest atoms and distances in Å follow each position.
Element x y z (fractional)
1 I 0.0000 0.0000 0.5000  4 Ni 2.58, 2 Li 2.74
2 Ni 0.5000 0.5000 0.5000  4 I 2.58
3 Li 0.0000 0.0000 0.0000  4 N 1.83
4 N 0.0000 0.5000 0.0000  2 Li 1.83
5 N 0.5000 0.0000 0.0000  2 Li 1.83

---

Entry 15:
LiINO2: single point on PBEsol structure, SCAN.

Space-group type: P4/mmm (123)
Total energy: -11.356 eV per atom

a b c (Å): 3.6113 3.6113 3.8263
angles (deg): 90.00 90.00 90.00
Closest atoms and distances in Å follow each position.
Element x y z (fractional)
1 I 0.5000 0.5000 0.5000  4 N 2.55, 8 O 2.63
2 Li 0.0000 0.0000 0.0000  4 O 1.81, 2 N 1.91
3 O 0.0000 0.5000 0.0000  2 Li 1.81
4 O 0.5000 0.0000 0.0000  2 Li 1.81
5 N 0.0000 0.0000 0.5000  2 Li 1.91

---

Entry 16:
LiPbI2N: single point on PBEsol structure, SCAN.

Space-group type: P4/mmm (123)
Total energy: -31.956 eV per atom

a b c (Å): 3.9951 5.5636 5.5636
angles (deg): 90.00 90.00 90.00
Closest atoms and distances in Å follow each position.
Element x y z (fractional)
1 Pb 0.5000 0.5000 0.5000  8 I 3.42
2 I 0.0000 0.0000 0.5000  2 Li 2.78
3 I 0.0000 0.5000 0.0000  2 Li 2.78
4 Li 0.0000 0.0000 0.0000  2 N 2.00
5 N 0.5000 0.0000 0.0000  2 Li 2.00

---

Entry 17:
LiSI2N: single point on PBEsol structure, SCAN.

Space-group type: P4/mmm (123)
Total energy: -18.570 eV per atom

a b c (Å): 3.4148 5.8967 5.8967
angles (deg): 90.00 90.00 90.00
Closest atoms and distances in Å follow each position.
Element x y z (fractional)
1 I 0.0000 0.0000 0.5000  2 S 2.95
2 I 0.0000 0.5000 0.0000  2 S 2.95
3 S 0.0000 0.0000 0.0000  2 N 1.71
4 Li 0.5000 0.5000 0.5000  8 I 3.41, 2 Li 3.41
5 N 0.5000 0.0000 0.0000  2 S 1.71

---

Entry 18:
Li2SeIN: single point on PBEsol structure, SCAN.

Space-group type: P4/mmm (123)
Total energy: -13.776 eV per atom

a b c (Å): 3.9928 5.3258 5.3258
angles (deg): 90.00 90.00 90.00
Closest atoms and distances in Å follow each position.
Element x y z (fractional)
1 I 0.0000 0.0000 0.0000  2 N 2.00
2 Li 0.0000 0.0000 0.5000  2 I 2.66
3 Li 0.0000 0.5000 0.0000  2 I 2.66
4 Se 0.5000 0.5000 0.5000  8 Li 3.33
5 N 0.5000 0.0000 0.0000  2 I 2.00

---

Entry 19:
LiSnI2N: single point on PBEsol structure, SCAN.

Space-group type: P4/mmm (123)
Total energy: -24.095 eV per atom

a b c (Å): 3.8854 6.0405 6.0405
angles (deg): 90.00 90.00 90.00
Closest atoms and distances in Å follow each position.
Element x y z (fractional)
1 I 0.0000 0.0000 0.5000  2 Sn 3.02
2 I 0.0000 0.5000 0.0000  2 Sn 3.02
3 Li 0.5000 0.5000 0.5000  8 I 3.59, 2 Li 3.89
4 Sn 0.0000 0.0000 0.0000  2 N 1.94
5 N 0.5000 0.0000 0.0000  2 Sn 1.94

---

Entry 20:
LiTaIN2: single point on PBEsol structure, SCAN.

Space-group type: P4/mmm (123)
Total energy: -23.018 eV per atom

a b c (Å): 3.8985 3.8985 4.4660
angles (deg): 90.00 90.00 90.00
Closest atoms and distances in Å follow each position.
Element x y z (fractional)
1 I 0.0000 0.0000 0.5000  2 Li 2.23
2 N 0.0000 0.5000 0.0000  2 Li 1.95
3 N 0.5000 0.0000 0.0000  2 Li 1.95
4 Li 0.0000 0.0000 0.0000  4 N 1.95
5 Ta 0.5000 0.5000 0.5000  4 I 2.76, 8 N 2.96

---

Entry 21:
LiYIN2: single point on PBEsol structure, SCAN.

Space-group type: P4/mmm (123)
Total energy: -16.486 eV per atom

a b c (Å): 4.2101 4.2101 4.5649
angles (deg): 90.00 90.00 90.00
Closest atoms and distances in Å follow each position.
Element x y z (fractional)
1 I 0.0000 0.0000 0.5000  2 Li 2.28
2 Y 0.5000 0.5000 0.5000  4 I 2.98, 8 N 3.10
3 Li 0.0000 0.0000 0.0000  4 N 2.11, 2 I 2.28
4 N 0.0000 0.5000 0.0000  2 Li 2.11
5 N 0.5000 0.0000 0.0000  2 Li 2.11

---

Entry 22:
LiZnIN2: single point on PBEsol structure, SCAN.

Space-group type: P4/mmm (123)
Total energy: -13.457 eV per atom

a b c (Å): 3.9464 3.9464 6.0946
angles (deg): 90.00 90.00 90.00
Closest atoms and distances in Å follow each position.
Element x y z (fractional)
1 I 0.0000 0.0000 0.5000  4 Li 2.79, 2 Zn 3.05
2 Zn 0.0000 0.0000 0.0000  4 N 1.97
3 Li 0.5000 0.5000 0.5000  4 I 2.79
4 N 0.0000 0.5000 0.0000  2 Zn 1.97
5 N 0.5000 0.0000 0.0000  2 Zn 1.97

---

Entry 23:
LiZrI2N: single point on PBEsol structure, SCAN.

Space-group type: P4/mmm (123)
Total energy: -23.835 eV per atom

a b c (Å): 4.0076 5.8675 5.8675
angles (deg): 90.00 90.00 90.00
Closest atoms and distances in Å follow each position.
Element x y z (fractional)
1 I 0.0000 0.0000 0.5000  2 Zr 2.93
2 I 0.0000 0.5000 0.0000  2 Zr 2.93
3 Li 0.5000 0.5000 0.5000  8 I 3.55
4 Zr 0.0000 0.0000 0.0000  2 N 2.00
5 N 0.5000 0.0000 0.0000  2 Zr 2.00

---

Entry 24:
NaLi2I: single point on PBEsol structure, SCAN.

Space-group type: Fm-3m (225)
Total energy: -11.644 eV per atom

a b c (Å): 5.3833 5.3833 5.3833
angles (deg): 60.00 60.00 60.00
Closest atoms and distances in Å follow each position.
Element x y z (fractional)
1 I 0.5000 0.5000 0.5000  8 Li 3.30
2 Na 0.0000 0.0000 0.0000  8 Li 3.30
3 Li 0.2500 0.2500 0.2500  4 I 3.30, 4 Na 3.30
4 Li 0.7500 0.7500 0.7500  4 Na 3.30, 4 I 3.30

---

Entry 25:
Li3NbI: single point on PBEsol structure, SCAN.

Space-group type: Pm-3m (221)
Total energy: -14.872 eV per atom

a b c (Å): 5.1140 5.1140 5.1140
angles (deg): 90.00 90.00 90.00
Closest atoms and distances in Å follow each position.
Element x y z (fractional)
1 I 0.0000 0.0000 0.0000  6 Li 2.56
2 Nb 0.5000 0.5000 0.5000  12 Li 3.62
3 Li 0.0000 0.5000 0.0000  2 I 2.56
4 Li 0.0000 0.0000 0.5000  2 I 2.56
5 Li 0.5000 0.0000 0.0000  2 I 2.56

---

Entry 26:
LiZrNb2I: single point on PBEsol structure, SCAN.

Space-group type: P4/mmm (123)
Total energy: -26.149 eV per atom

a b c (Å): 4.3900 5.0681 5.0681
angles (deg): 90.00 90.00 90.00
Closest atoms and distances in Å follow each position.
Element x y z (fractional)
1 I 0.0000 0.0000 0.0000  2 Li 2.19
2 Nb 0.0000 0.0000 0.5000  2 I 2.53
3 Nb 0.0000 0.5000 0.0000  2 I 2.53
4 Zr 0.5000 0.5000 0.5000  8 Nb 3.35, 4 Li 3.58
5 Li 0.5000 0.0000 0.0000  2 I 2.19

---

Entry 27:
LiNiTe2I: single point on PBEsol structure, SCAN.

Space-group type: P4/mmm (123)
Total energy: -25.292 eV per atom

a b c (Å): 4.9197 4.9197 5.2110
angles (deg): 90.00 90.00 90.00
Closest atoms and distances in Å follow each position.
Element x y z (fractional)
1 I 0.0000 0.0000 0.5000  2 Li 2.61
2 Ni 0.5000 0.5000 0.5000  4 I 3.48, 8 Te 3.58
3 Te 0.0000 0.5000 0.0000  2 Li 2.46
4 Te 0.5000 0.0000 0.0000  2 Li 2.46
5 Li 0.0000 0.0000 0.0000  4 Te 2.46, 2 I 2.61

---

Entry 28:
LiI2O2: single point on PBEsol structure, SCAN.

Space-group type: P4/mmm (123)
Total energy: -17.410 eV per atom

a b c (Å): 4.0496 4.7640 4.7640
angles (deg): 90.00 90.00 90.00
Closest atoms and distances in Å follow each position.
Element x y z (fractional)
1 I 0.0000 0.0000 0.5000  2 O 2.38
2 I 0.0000 0.5000 0.0000  2 O 2.38
3 O 0.0000 0.0000 0.0000  2 O 2.02
4 O 0.5000 0.0000 0.0000  2 O 2.02
5 Li 0.5000 0.5000 0.5000  8 I 3.13, 4 O 3.37